# 1
DFT (PBE) results for a relaxed structure of NiRu2Rh.

a b c (Å): 3.7428 3.7428 3.8205
angles (deg): 90.00 90.00 90.00
With the nearest neighbours (Å) after each atom.
Space group P4/mmm (No. 123)
Symmetry-distinct sites (fractional):
Ni1 0.0000 0.0000 0.0000 (multiplicity 1)  4 Rh 2.65, 8 Ru 2.67
Ru1 0.0000 0.5000 0.5000 (multiplicity 2)  4 Ru 2.65, 4 Rh 2.67, 4 Ni 2.67
Rh1 0.5000 0.5000 0.0000 (multiplicity 1)  4 Ni 2.65, 8 Ru 2.67

Computed properties:
E_form: 0.164 eV/atom



# 2
DFT (PBE) results for a relaxed structure of BaSrTi2Pb.

a b c (Å): 5.5231 5.5231 6.2135
angles (deg): 90.00 90.00 90.00
With the nearest neighbours (Å) after each atom.
Space group P4/mmm (No. 123)
Symmetry-distinct sites (fractional):
Ba1 0.0000 0.0000 0.0000 (multiplicity 1)  4 Sr 3.91, 8 Ti 4.16
Sr1 0.5000 0.5000 0.0000 (multiplicity 1)  2 Pb 3.11
Ti1 0.0000 0.5000 0.5000 (multiplicity 2)  2 Pb 2.76
Pb1 0.5000 0.5000 0.5000 (multiplicity 1)  4 Ti 2.76

Computed properties:
E_form: 0.653 eV/atom



# 3
DFT (PBE) results for a relaxed structure of CrTc2Pt.

a b c (Å): 6.1306 6.1306 6.1306
angles (deg): 90.00 90.00 90.00
With the nearest neighbours (Å) after each atom.
Space group Fm-3m (No. 225)
Symmetry-distinct sites (fractional):
Cr1 0.0000 0.0000 0.0000 (multiplicity 4)  8 Tc 2.65
Tc1 0.2500 0.2500 0.2500 (multiplicity 8)  4 Cr 2.65, 4 Pt 2.65
Pt1 0.0000 0.0000 0.5000 (multiplicity 4)  8 Tc 2.65

Computed properties:
E_form: 0.274 eV/atom



# 4
DFT (PBE) results for a relaxed structure of PdI2O2.

a b c (Å): 4.0023 4.0023 8.0390
angles (deg): 90.00 90.00 90.00
With the nearest neighbours (Å) after each atom.
Space group P4/mmm (No. 123)
Symmetry-distinct sites (fractional):
Pd1 0.0000 0.0000 0.0000 (multiplicity 1)  4 I 2.83
I1 0.5000 0.5000 0.0000 (multiplicity 1)  4 Pd 2.83
I2 0.5000 0.5000 0.5000 (multiplicity 1)  4 O 2.00
O1 0.0000 0.5000 0.5000 (multiplicity 2)  2 I 2.00

Computed properties:
E_form (uncorrected): 0.114 eV per atom



no.,N(E_F) (states/eV per cell),spin magnetization (μB/f.u.)
1,6.9,0.5
2,7.2,4.7
3,27.2,0.0
4,3.3,0.0